1.
Compound: Cr3PtSe
Source: Alexandria via LeMat-Bulk
Functional: GGA-PBE
Structure: relaxed

Cell lengths 4.6645, 4.6645, 4.6645 Å; angles 90.00, 90.00, 90.00 degrees
Last column: nearest neighbours and their distance in Å.
Fractional coordinates of all 5 atoms:
Se (0.0000, 0.0000, 0.0000)  6 Cr 2.33
Pt (0.5000, 0.5000, 0.5000)  12 Cr 3.30
Cr (0.5000, 0.0000, 0.0000)  2 Se 2.33
Cr (0.0000, 0.0000, 0.5000)  2 Se 2.33
Cr (0.0000, 0.5000, 0.0000)  2 Se 2.33

Summary:
calculated volume	101	Å³/cell
magnetization	12.30	μB per formula unit
energy relative to the elements, uncorrected	4.21	eV/f.u.

2.
Compound: Sm5HoIn2
Source: Alexandria via LeMat-Bulk
Functional: GGA-PBE
Structure: relaxed

Cell lengths 4.9063, 6.9585, 13.9229 Å; angles 90.00, 90.00, 90.00 degrees
Last column: nearest neighbours and their distance in Å.
Fractional coordinates of all 16 atoms:
Ho (0.0000, 0.5000, 0.0000)  4 In 3.45, 8 Sm 3.46-3.48
Ho (0.0000, 0.0000, 0.5000)  4 In 3.45, 8 Sm 3.46-3.48
Sm (0.0000, 0.4989, 0.7517)  1 Ho 3.46, 4 In 3.47-3.50, 7 Sm 3.47-3.50
Sm (0.0000, 0.5011, 0.2483)  1 Ho 3.46, 4 In 3.47-3.50, 7 Sm 3.47-3.50
Sm (0.5000, 0.7492, 0.6242)  4 In 3.45-3.51, 6 Sm 3.47-3.49, 2 Ho 3.47
Sm (0.0000, 0.9989, 0.7483)  1 Ho 3.46, 4 In 3.47-3.50, 7 Sm 3.47-3.50
Sm (0.5000, 0.2492, 0.8758)  4 In 3.45-3.51, 6 Sm 3.47-3.49, 2 Ho 3.47
Sm (0.5000, 0.7508, 0.1242)  4 In 3.45-3.51, 6 Sm 3.47-3.49, 2 Ho 3.47
Sm (0.5000, 0.2508, 0.3758)  4 In 3.45-3.51, 6 Sm 3.47-3.49, 2 Ho 3.47
Sm (0.0000, 0.5000, 0.5000)  6 Sm 3.47-3.50, 4 In 3.48, 2 Ho 3.48
Sm (0.0000, 0.0011, 0.2517)  1 Ho 3.46, 4 In 3.47-3.50, 7 Sm 3.47-3.50
Sm (0.0000, 0.0000, 0.0000)  6 Sm 3.47-3.50, 4 In 3.48, 2 Ho 3.48
In (0.5000, 0.2469, 0.6237)  10 Sm 3.45-3.51, 2 Ho 3.45
In (0.5000, 0.7531, 0.3763)  10 Sm 3.45-3.51, 2 Ho 3.45
In (0.5000, 0.7469, 0.8763)  10 Sm 3.45-3.51, 2 Ho 3.45
In (0.5000, 0.2531, 0.1237)  10 Sm 3.45-3.51, 2 Ho 3.45

Summary:
final energy	-4.48	eV per atom
calculated volume	475	Å³/cell
magnetization	0.00	μB per formula unit

3.
Compound: CeSm2RuN4
Source: Alexandria via LeMat-Bulk
Functional: GGA-PBE
Structure: relaxed

Cell lengths 3.4432, 6.1417, 11.8198 Å; angles 90.00, 90.00, 106.28 degrees
Last column: nearest neighbours and their distance in Å.
Fractional coordinates of all 16 atoms:
N (0.0000, 0.0000, 0.0000)  4 Sm 2.38
N (0.5477, 0.0954, 0.2500)  2 Ru 2.08
N (0.4523, 0.9046, 0.7500)  2 Ru 2.08
N (0.2754, 0.5508, 0.3642)  1 Ru 2.03
N (0.0000, 0.0000, 0.5000)  4 Sm 2.38
N (0.2754, 0.5508, 0.1358)  1 Ru 2.03
N (0.7246, 0.4492, 0.8642)  1 Ru 2.03
N (0.7246, 0.4492, 0.6358)  1 Ru 2.03
Ce (0.1135, 0.2269, 0.7500)  6 N 2.55-2.56
Ce (0.8865, 0.7731, 0.2500)  6 N 2.55-2.56
Sm (0.3690, 0.7381, 0.5469)  6 N 2.38-2.64
Sm (0.6310, 0.2619, 0.0469)  6 N 2.38-2.64
Sm (0.3690, 0.7381, 0.9531)  6 N 2.38-2.64
Sm (0.6310, 0.2619, 0.4531)  6 N 2.38-2.64
Ru (0.8531, 0.7062, 0.7500)  4 N 2.03-2.08
Ru (0.1469, 0.2938, 0.2500)  4 N 2.03-2.08

Summary:
calculated volume	240	Å³/cell
magnetization	0.00	μB per formula unit
energy relative to the elements, uncorrected	-7.64	eV/f.u.